Compound: ZrCuPIr2
Source: the Alexandria database
Functional: PBE
Structure: optimized geometry

Lattice parameters (Å, degrees): 4.3755 4.3755 4.7848 90.00 90.00 90.00
Space group P4/mmm (No. 123)
Unique sites:
Zr  0.0000  0.0000  0.0000 [1 per cell]
Cu  0.5000  0.5000  0.0000 [1 per cell]
P  0.0000  0.0000  0.5000 [1 per cell]
Ir  0.0000  0.5000  0.5000 [2 per cell]

Values from the calculation:
DOS(E_F) = 0.957 states/eV/atom
DFT formation energy = 1.31 eV per formula unit

---

Compound: PaCu2Ir
Source: the Alexandria database
Functional: PBE
Structure: optimized geometry

Lattice parameters (Å, degrees): 2.8084 2.8084 29.9911 90.00 90.00 120.00
Space group R-3m (No. 166, hexagonal axes)
Unique sites:
Pa  0.0000  0.0000  0.0000 [3 per cell]
Cu  0.0000  0.0000  0.0972 [6 per cell]
Ir  0.0000  0.0000  0.5000 [3 per cell]

Values from the calculation:
DOS(E_F) = 1.431 states/eV/atom
DFT formation energy = 2.06 eV per formula unit

---

Compound: PaCuIr
Source: the Alexandria database
Functional: PBE
Structure: optimized geometry

Lattice parameters (Å, degrees): 4.4745 4.4745 3.1325 90.00 90.00 120.00
Space group P-6m2 (No. 187)
Unique sites:
Pa  0.0000  0.0000  0.0000 [1 per cell]
Cu  0.3333  0.6667  0.5000 [1 per cell]
Ir  0.6667  0.3333  0.5000 [1 per cell]

Values from the calculation:
DOS(E_F) = 1.514 states/eV/atom
DFT formation energy = -1.18 eV per formula unit

---

Compound: PaCuIr
Source: the Alexandria database
Functional: PBE
Structure: optimized geometry

Lattice parameters (Å, degrees): 3.6132 3.6132 8.7031 90.00 90.00 90.00
Space group I4mm (No. 107)
Unique sites:
Pa  0.0000  0.0000  0.0000 [2 per cell]
Cu  0.0000  0.0000  0.6805 [2 per cell]
Ir  0.0000  0.0000  0.3544 [2 per cell]

Values from the calculation:
DOS(E_F) = 0.981 states/eV/atom
DFT formation energy = -0.87 eV per formula unit

---

Compound: PaCu2Ir
Source: the Alexandria database
Functional: PBE
Structure: optimized geometry

Lattice parameters (Å, degrees): 4.6095 6.1124 5.0886 90.00 107.92 90.00
Space group P2_1/m (No. 11)
Unique sites:
Pa  0.0655  0.2500  0.1975 [2 per cell]
Cu  0.4210  0.0477  0.7442 [4 per cell]
Ir  0.1112  0.7500  0.3456 [2 per cell]

Values from the calculation:
DOS(E_F) = 0.692 states/eV/atom
DFT formation energy = -1.22 eV per formula unit

---

Compound: PaCu4Ir
Source: the Alexandria database
Functional: PBE
Structure: optimized geometry

Lattice parameters (Å, degrees): 7.0409 7.0409 7.0409 90.00 90.00 90.00
Space group F-43m (No. 216)
Unique sites:
Pa  0.0000  0.0000  0.0000 [4 per cell]
Cu  0.1240  0.1240  0.6240 [16 per cell]
Ir  0.2500  0.2500  0.2500 [4 per cell]

Values from the calculation:
DOS(E_F) = 0.834 states/eV/atom
DFT formation energy = -1.35 eV per formula unit

---

Compound: PaCuIr
Source: the Alexandria database
Functional: PBE
Structure: optimized geometry

Lattice parameters (Å, degrees): 4.6910 6.6918 7.1409 90.00 90.00 90.00
Space group Immm (No. 71)
Unique sites:
Pa  0.0000  0.2388  0.0000 [4 per cell]
Cu  0.0000  0.0000  0.3354 [4 per cell]
Ir  0.0000  0.5000  0.3012 [4 per cell]

Values from the calculation:
DOS(E_F) = 1.091 states/eV/atom
DFT formation energy = -1.25 eV per formula unit

---

Compound: PaCuIr2
Source: the Alexandria database
Functional: PBE
Structure: optimized geometry

Lattice parameters (Å, degrees): 4.4303 4.4303 12.7353 90.00 90.00 120.00
Space group R-3m (No. 166, hexagonal axes)
Unique sites:
Pa  0.0000  0.0000  0.0000 [3 per cell]
Cu  0.0000  0.0000  0.5000 [3 per cell]
Ir  0.0000  0.0000  0.2135 [6 per cell]

Values from the calculation:
DOS(E_F) = 0.841 states/eV/atom
DFT formation energy = -1.66 eV per formula unit

---

Compound: PaCuIr2
Source: the Alexandria database
Functional: PBE
Structure: optimized geometry

Lattice parameters (Å, degrees): 4.1657 4.1657 3.8707 90.00 90.00 90.00
Space group P4/mmm (No. 123)
Unique sites:
Pa  0.0000  0.0000  0.0000 [1 per cell]
Cu  0.5000  0.5000  0.0000 [1 per cell]
Ir  0.0000  0.5000  0.5000 [2 per cell]

Values from the calculation:
DOS(E_F) = 0.214 states/eV/atom
DFT formation energy = -2.55 eV per formula unit

---

Compound: PaCuIr4
Source: the Alexandria database
Functional: PBE
Structure: optimized geometry

Lattice parameters (Å, degrees): 7.4301 7.4301 7.4301 90.00 90.00 90.00
Space group F-43m (No. 216)
Unique sites:
Pa  0.0000  0.0000  0.0000 [4 per cell]
Cu  0.2500  0.2500  0.2500 [4 per cell]
Ir  0.1242  0.1242  0.6242 [16 per cell]

Values from the calculation:
DOS(E_F) = 1.210 states/eV/atom
DFT formation energy = -2.12 eV per formula unit

---

Compound: PaCuIrPd
Source: the Alexandria database
Functional: PBE
Structure: optimized geometry

Lattice parameters (Å, degrees): 6.5864 6.5864 6.5864 90.00 90.00 90.00
Space group F-43m (No. 216)
Unique sites:
Pa  0.0000  0.0000  0.0000 [4 per cell]
Cu  0.0000  0.0000  0.5000 [4 per cell]
Ir  0.2500  0.2500  0.7500 [4 per cell]
Pd  0.2500  0.2500  0.2500 [4 per cell]

Values from the calculation:
DOS(E_F) = 0.941 states/eV/atom
DFT formation energy = -1.62 eV per formula unit

---

Compound: PaCuIrPt
Source: the Alexandria database
Functional: PBE
Structure: optimized geometry

Lattice parameters (Å, degrees): 6.6074 6.6074 6.6074 90.00 90.00 90.00
Space group F-43m (No. 216)
Unique sites:
Pa  0.0000  0.0000  0.0000 [4 per cell]
Cu  0.0000  0.0000  0.5000 [4 per cell]
Ir  0.2500  0.2500  0.2500 [4 per cell]
Pt  0.2500  0.2500  0.7500 [4 per cell]

Values from the calculation:
DOS(E_F) = 0.837 states/eV/atom
DFT formation energy = -1.97 eV per formula unit